CrGaN2F | PBE with a Hubbard U | optimized geometry

Geometry as CIF:
```
data_CrGaN2F
_symmetry_space_group_name_H-M 'P 4/m m m'
_symmetry_Int_Tables_number 123
_symmetry_space_group_name_Hall '-P 4 2'
_cell_length_a 3.896
_cell_length_b 3.896
_cell_length_c 3.893
_cell_angle_alpha 90.00
_cell_angle_beta 90.00
_cell_angle_gamma 90.00
loop_
_atom_site_label
_atom_site_fract_x
_atom_site_fract_y
_atom_site_fract_z
Cr1 0.000 0.000 0.000
Ga1 0.500 0.500 0.500
N1 0.000 0.500 0.500
F1 0.500 0.500 0.000
```

Output
relative energy among the computed polymorphs	134	meV/atom
total moment	0.52	μB per atom
raw total energy	-5.587	eV/atom